Here is a relaxed Nd2DyF11 crystal from Alexandria via LeMat-Bulk. Energies are from GGA-PBE. Values from VASP.

Quantum ESPRESSO input file:
```
&SYSTEM
  ibrav = 0, nat = 28, ntyp = 3
/
ATOMIC_SPECIES
Nd 144.24 Nd.upf
F 19.00 F.upf
Dy 162.50 Dy.upf
ATOMIC_POSITIONS angstrom
Nd 3.884 2.337 8.264
F 7.828 5.403 9.500
Nd 7.657 5.288 7.204
F 6.459 6.033 12.126
Nd 7.352 1.420 11.013
F 5.770 3.812 7.734
F 3.355 2.369 10.500
F 5.082 1.591 3.342
Dy 8.656 5.718 11.601
F 3.800 3.991 3.980
F 3.713 2.221 5.968
F 5.561 5.264 6.135
Nd 4.189 6.205 4.455
F 9.820 6.228 7.366
Dy 2.885 1.906 3.867
F 1.583 0.462 2.677
F 7.740 3.634 11.488
F 1.721 1.396 8.102
F 8.871 3.350 7.498
F 5.980 2.360 9.332
F 2.670 4.274 7.969
F 0.000 0.000 0.000
F 8.186 5.256 4.968
F 1.174 1.388 5.281
F 7.045 7.502 7.158
F 10.367 6.237 10.187
F 4.496 0.123 8.310
F 9.958 7.163 12.791
CELL_PARAMETERS angstrom
7.708 0.000 4.017
3.543 7.680 2.605
0.290 -0.056 8.845
```

Here is a relaxed NdDy3F crystal from Alexandria via LeMat-Bulk. Energies are from GGA-PBE. Values from VASP.

Quantum ESPRESSO input file:
```
&SYSTEM
  ibrav = 0, nat = 5, ntyp = 3
/
ATOMIC_SPECIES
Dy 162.50 Dy.upf
Nd 144.24 Nd.upf
F 19.00 F.upf
ATOMIC_POSITIONS angstrom
Dy 0.000 0.000 2.537
Nd 2.537 2.537 2.537
F 0.000 0.000 0.000
Dy 0.000 2.537 0.000
Dy 2.537 0.000 0.000
CELL_PARAMETERS angstrom
5.074 0.000 0.000
0.000 5.074 0.000
0.000 0.000 5.074
```

Record order is preserved below.
Electronic total energy: -5.89, -5.01 eV per atom
Record order is preserved below.
Uncorrected formation energy: -3.4117, -0.9252 eV per atom